Entry 1:
Compound: CoH2Ir
Source: Alexandria via LeMat-Bulk
Functional: PBE
Structure: optimized geometry

Properties
* mass density: 12.96 g/cm3
* total moment: 0.4009 μB/atom
* final energy: -5.436 eV/atom

Structure (CIF):
```
data_CoH2Ir
_symmetry_space_group_name_H-M 'I -4 2 d'
_symmetry_Int_Tables_number 122
_symmetry_space_group_name_Hall 'I -4 2bw'
_cell_length_a 4.0032
_cell_length_b 4.0032
_cell_length_c 8.0956
_cell_angle_alpha 90.00
_cell_angle_beta 90.00
_cell_angle_gamma 90.00
loop_
_atom_site_label
_atom_site_type_symbol
_atom_site_fract_x
_atom_site_fract_y
_atom_site_fract_z
Co1 Co 0.0000 0.0000 0.0000
H1 H 0.2238 0.2500 0.1250
Ir1 Ir 0.0000 0.0000 0.5000
```

Entry 2:
Compound: Dy5Y8Ho
Source: Alexandria via LeMat-Bulk
Functional: PBE
Structure: optimized geometry

Properties
* mass density: 6.07 g/cm3
* total moment: 0.0000 μB/atom
* final energy: -5.414 eV/atom

Structure (CIF):
```
data_Dy5Y8Ho
_symmetry_space_group_name_H-M 'I -4'
_symmetry_Int_Tables_number 82
_symmetry_space_group_name_Hall 'I -4'
_cell_length_a 9.5663
_cell_length_b 9.5663
_cell_length_c 10.1036
_cell_angle_alpha 90.00
_cell_angle_beta 90.00
_cell_angle_gamma 90.00
loop_
_atom_site_label
_atom_site_type_symbol
_atom_site_fract_x
_atom_site_fract_y
_atom_site_fract_z
Dy1 Dy 0.0000 0.0000 0.0000
Dy2 Dy 0.1096 0.2119 0.5750
Y1 Y 0.0712 0.3228 0.9049
Y2 Y 0.0856 0.1746 0.2473
Ho1 Ho 0.0000 0.5000 0.2500
```